(1)
Here is a relaxed SrBeGeS2 crystal from Alexandria. Energies are from PBE.

Results
space-group type	P4/mmm (123)
size of the total moment	0.00	μB/cell
N(E_F)	2.11	states/eV/cell
formation energy from raw total energies	0.039	eV per atom

Cell lengths 4.4043, 5.3912, 4.4043 Å; angles 90.00, 90.00, 90.00 degrees
Closest atoms and distances in Å follow each position.
Atoms (fractional coordinates):
Sr 0.0000 0.5000 0.0000  2 Be 2.70
Ge 0.5000 0.5000 0.5000  4 Sr 3.11, 8 S 3.48
S 0.0000 0.0000 0.5000  2 Be 2.20
S 0.5000 0.0000 0.0000  2 Be 2.20
Be 0.0000 0.0000 0.0000  4 S 2.20

***

(2)
Here is a relaxed PmThPa2 crystal from Alexandria. Energies are from PBE.

Results
space-group type	P4/mmm (123)
size of the total moment	0.00	μB/cell
N(E_F)	8.75	states/eV/cell
calculated formation energy	5.4	kcal/mol of atoms

Cell lengths 5.0307, 4.7367, 4.7367 Å; angles 90.00, 90.00, 90.00 degrees
Closest atoms and distances in Å follow each position.
Atoms (fractional coordinates):
Pa 0.0000 0.0000 0.5000  4 Pa 3.35, 4 Th 3.45, 4 Pm 3.45
Pa 0.0000 0.5000 0.0000  4 Pa 3.35, 4 Th 3.45, 4 Pm 3.45
Th 0.5000 0.0000 0.0000  4 Pm 3.35, 8 Pa 3.45
Pm 0.5000 0.5000 0.5000  4 Th 3.35, 8 Pa 3.45

***

(3)
Here is a relaxed Ca2MnCd crystal from Alexandria. Energies are from PBE.

Results
space-group type	Cm (8)
size of the total moment	3.71	μB/cell
N(E_F)	4.49	states/eV/cell
calculated formation energy	2.9	kcal/mol of atoms

Cell lengths 6.2609, 6.2609, 5.4187 Å; angles 69.16, 69.16, 33.64 degrees
Closest atoms and distances in Å follow each position.
Atoms (fractional coordinates):
Ca 0.9783 0.9783 0.0396  4 Cd 3.30-3.32, 3 Mn 3.39-3.51, 4 Ca 3.55-3.62
Ca 0.7708 0.7708 0.7122  4 Mn 3.30-3.31, 3 Cd 3.41-3.50, 4 Ca 3.55-3.62
Mn 0.2205 0.2205 0.2543  2 Cd 2.82
Cd 0.5303 0.5303 0.4938  2 Mn 2.82

***

(4)
Here is a relaxed SrZr2Cd crystal from Alexandria. Energies are from PBE.

Results
space-group type	I4/mmm (139)
size of the total moment	0.00	μB/cell
N(E_F)	6.85	states/eV/cell
calculated formation energy	8.7	kcal/mol of atoms

Cell lengths 6.0065, 6.0065, 6.0065 Å; angles 135.54, 135.54, 64.69 degrees
Closest atoms and distances in Å follow each position.
Atoms (fractional coordinates):
Cd 0.2500 0.7500 0.5000  4 Sr 3.21, 8 Zr 3.41
Sr 0.7500 0.2500 0.5000  4 Cd 3.21, 8 Zr 3.41
Zr 0.0000 0.0000 0.0000  4 Zr 3.21, 4 Sr 3.41, 4 Cd 3.41
Zr 0.5000 0.5000 0.0000  4 Zr 3.21, 4 Cd 3.41, 4 Sr 3.41

***

(5)
Here is a relaxed CuTeAs crystal from Alexandria. Energies are from PBE.

Results
space-group type	F-43m (216)
size of the total moment	0.00	μB/cell
N(E_F)	0.71	states/eV/cell
formation energy from raw total energies	0.218	eV per atom

Cell lengths 4.5220, 4.5220, 4.5220 Å; angles 60.00, 60.00, 60.00 degrees
Closest atoms and distances in Å follow each position.
Atoms (fractional coordinates):
As 0.5000 0.5000 0.5000  4 Cu 2.77
Cu 0.7500 0.7500 0.7500  4 As 2.77, 4 Te 2.77
Te 0.0000 0.0000 0.0000  4 Cu 2.77

***

(6)
Here is a relaxed Sm2AsPPt6 crystal from Alexandria. Energies are from PBE.

Results
space-group type	Pmmn (59)
size of the total moment	0.00	μB/cell
N(E_F)	8.17	states/eV/cell
calculated formation energy	-20.6	kcal/mol of atoms

Cell lengths 5.5855, 8.4569, 8.3356 Å; angles 90.00, 90.00, 90.00 degrees
Closest atoms and distances in Å follow each position.
Atoms (fractional coordinates):
Sm 0.5000 0.7386 0.2537  11 Pt 3.01-3.37
Sm 0.0000 0.2614 0.7537  11 Pt 3.01-3.37
Sm 0.5000 0.7386 0.7463  11 Pt 3.01-3.37
Sm 0.0000 0.2614 0.2463  11 Pt 3.01-3.37
As 0.0000 0.7136 0.5000  4 Pt 2.46
As 0.5000 0.2864 0.0000  4 Pt 2.46
P 0.5000 0.2537 0.5000  6 Pt 2.33-2.51
P 0.0000 0.7463 0.0000  6 Pt 2.33-2.51
Pt 0.5000 0.1277 0.2472  1 P 2.36, 1 As 2.46
Pt 0.5000 0.1277 0.7528  1 P 2.36, 1 As 2.46
Pt 0.0000 0.8723 0.2528  1 P 2.36, 1 As 2.46
Pt 0.0000 0.8723 0.7472  1 P 2.36, 1 As 2.46
Pt 0.2481 0.0076 0.5000  1 P 2.51, 5 Pt 2.73-2.77
Pt 0.7519 0.0076 0.5000  1 P 2.51, 5 Pt 2.73-2.77
Pt 0.2533 0.4759 0.5000  1 P 2.33, 1 As 2.46
Pt 0.7467 0.4759 0.5000  1 P 2.33, 1 As 2.46
Pt 0.7533 0.5241 0.0000  1 P 2.33, 1 As 2.46
Pt 0.2467 0.5241 0.0000  1 P 2.33, 1 As 2.46
Pt 0.2519 0.9924 0.0000  1 P 2.51, 5 Pt 2.73-2.77
Pt 0.7481 0.9924 0.0000  1 P 2.51, 5 Pt 2.73-2.77

***

(7)
Here is a relaxed TaAgTeO5 crystal from Alexandria. Energies are from PBE.

Results
space-group type	C2/c (15)
size of the total moment	0.00	μB/cell
formation energy from raw total energies	-1.524	eV per atom

Cell lengths 5.9658, 5.9658, 7.9721 Å; angles 106.99, 106.99, 102.04 degrees
Closest atoms and distances in Å follow each position.
Atoms (fractional coordinates):
Ta 0.0000 0.0000 0.5000  6 O 2.00-2.05
Ta 0.0000 0.0000 0.0000  6 O 2.00-2.05
Ag 0.3208 0.6792 0.2500  4 O 2.27-2.47
Ag 0.6792 0.3208 0.7500  4 O 2.27-2.47
Te 0.6974 0.3026 0.2500  4 O 1.94-2.18
Te 0.3026 0.6974 0.7500  4 O 1.94-2.18
O 0.9901 0.0099 0.2500  2 Ta 2.00
O 0.0099 0.9901 0.7500  2 Ta 2.00
O 0.8392 0.2638 0.0244  1 Ta 2.00, 1 Te 2.18
O 0.1608 0.7362 0.9756  1 Ta 2.00, 1 Te 2.18
O 0.7362 0.1608 0.4756  1 Ta 2.00, 1 Te 2.18
O 0.2638 0.8392 0.5244  1 Ta 2.00, 1 Te 2.18
O 0.7426 0.6526 0.3672  1 Te 1.94, 1 Ta 2.05
O 0.2574 0.3474 0.6328  1 Te 1.94, 1 Ta 2.05
O 0.3474 0.2574 0.1328  1 Te 1.94, 1 Ta 2.05
O 0.6526 0.7426 0.8672  1 Te 1.94, 1 Ta 2.05

***

(8)
Here is a relaxed MnGa2Pt3 crystal from Alexandria. Energies are from PBE.

Results
space-group type	C2/m (12)
size of the total moment	8.30	μB/cell
N(E_F)	3.30	states/eV/cell
calculated formation energy	-12.4	kcal/mol of atoms

Cell lengths 4.0613, 4.6606, 10.9254 Å; angles 77.28, 90.00, 115.83 degrees
Closest atoms and distances in Å follow each position.
Atoms (fractional coordinates):
Mn 0.3329 0.6660 0.6681  8 Pt 2.72-2.87, 4 Ga 2.76-2.86
Mn 0.6671 0.3340 0.3319  8 Pt 2.72-2.87, 4 Ga 2.76-2.86
Ga 0.0000 0.0000 0.5000  8 Pt 2.72-2.74, 4 Mn 2.86
Ga 0.3241 0.6481 0.1775  8 Pt 2.62-2.90, 2 Mn 2.76
Ga 0.6759 0.3519 0.8225  8 Pt 2.62-2.90, 2 Mn 2.76
Ga 0.0000 0.0000 0.0000  8 Pt 2.61-2.86
Pt 0.3338 0.6676 0.4180  4 Ga 2.65-2.74, 4 Mn 2.72-2.76, 4 Pt 2.84-2.87
Pt 0.6485 0.2969 0.0729  7 Ga 2.61-2.90, 4 Pt 2.87, 1 Mn 2.87
Pt 0.9971 0.9943 0.7498  5 Ga 2.62-2.75, 3 Mn 2.72-2.74, 4 Pt 2.87
Pt 0.0029 0.0057 0.2502  5 Ga 2.62-2.75, 3 Mn 2.72-2.74, 4 Pt 2.87
Pt 0.3515 0.7031 0.9271  7 Ga 2.61-2.90, 4 Pt 2.87, 1 Mn 2.87
Pt 0.6662 0.3324 0.5820  4 Ga 2.65-2.74, 4 Mn 2.72-2.76, 4 Pt 2.84-2.87

***

(9)
Here is a relaxed RbYPd3 crystal from Alexandria. Energies are from PBE.

Results
space-group type	Pm-3m (221)
size of the total moment	0.00	μB/cell
N(E_F)	3.36	states/eV/cell
calculated formation energy	5.4	kcal/mol of atoms

Cell lengths 5.3055, 5.3055, 5.3055 Å; angles 90.00, 90.00, 90.00 degrees
Closest atoms and distances in Å follow each position.
Atoms (fractional coordinates):
Y 0.0000 0.0000 0.0000  6 Pd 2.65
Rb 0.5000 0.5000 0.5000  12 Pd 3.75
Pd 0.0000 0.5000 0.0000  2 Y 2.65
Pd 0.0000 0.0000 0.5000  2 Y 2.65
Pd 0.5000 0.0000 0.0000  2 Y 2.65

***

(10)
Here is a relaxed Re2SiOsS crystal from Alexandria. Energies are from PBE.

Results
space-group type	P4/mmm (123)
size of the total moment	0.00	μB/cell
N(E_F)	4.82	states/eV/cell
formation energy from raw total energies	1.271	eV per atom

Cell lengths 4.3702, 4.2917, 4.3702 Å; angles 90.00, 90.00, 90.00 degrees
Closest atoms and distances in Å follow each position.
Atoms (fractional coordinates):
Re 0.0000 0.0000 0.5000  2 S 2.19
Re 0.5000 0.0000 0.0000  2 S 2.19
S 0.0000 0.0000 0.0000  2 Os 2.15, 4 Re 2.19
Os 0.0000 0.5000 0.0000  2 S 2.15
Si 0.5000 0.5000 0.5000  8 Re 3.06, 4 Os 3.09

***

(11)
Here is a relaxed ZrIrRh2 crystal from Alexandria. Energies are from PBE.

Results
space-group type	P4mm (99)
size of the total moment	0.00	μB/cell
N(E_F)	4.75	states/eV/cell
calculated formation energy	-5.6	kcal/mol of atoms

Cell lengths 2.8567, 2.8567, 7.8222 Å; angles 90.00, 90.00, 90.00 degrees
Closest atoms and distances in Å follow each position.
Atoms (fractional coordinates):
Ir 0.5000 0.5000 0.7653  4 Rh 2.72, 4 Ir 2.86, 4 Zr 2.91
Rh 0.0000 0.0000 0.9990  4 Ir 2.72, 8 Rh 2.75-2.86
Rh 0.5000 0.5000 0.2375  8 Rh 2.75-2.86, 4 Zr 2.87
Zr 0.0000 0.0000 0.4982  4 Zr 2.86, 4 Rh 2.87, 4 Ir 2.91

***

(12)
Here is a relaxed KMg3O crystal from Alexandria. Energies are from PBE.

Results
space-group type	Pm-3m (221)
size of the total moment	0.00	μB/cell
N(E_F)	4.13	states/eV/cell
formation energy from raw total energies	-0.302	eV per atom

Cell lengths 4.8142, 4.8142, 4.8142 Å; angles 90.00, 90.00, 90.00 degrees
Closest atoms and distances in Å follow each position.
Atoms (fractional coordinates):
K 0.5000 0.5000 0.5000  12 Mg 3.40
Mg 0.0000 0.5000 0.0000  2 O 2.41
Mg 0.0000 0.0000 0.5000  2 O 2.41
Mg 0.5000 0.0000 0.0000  2 O 2.41
O 0.0000 0.0000 0.0000  6 Mg 2.41

***

(13)
Here is a relaxed CePm8Sn6 crystal from Alexandria. Energies are from PBE.

Results
space-group type	R-3 (148)
size of the total moment	1.40	μB/cell
N(E_F)	14.68	states/eV/cell
calculated formation energy	-12.7	kcal/mol of atoms

Cell lengths 9.3164, 9.3164, 8.4999 Å; angles 56.77, 56.77, 60.00 degrees
Closest atoms and distances in Å follow each position.
Atoms (fractional coordinates):
Ce 0.0000 0.0000 0.0000  6 Sn 3.41, 6 Pm 3.70
Pm 0.5664 0.2262 0.3129  5 Sn 3.19-3.39
Pm 0.7738 0.1055 0.6871  5 Sn 3.19-3.39
Pm 0.1055 0.4336 0.6871  5 Sn 3.19-3.39
Pm 0.6671 0.6671 0.9986  6 Sn 3.36-3.37, 6 Pm 3.74
Pm 0.3329 0.3329 0.0014  6 Sn 3.36-3.37, 6 Pm 3.74
Pm 0.8945 0.5664 0.3129  5 Sn 3.19-3.39
Pm 0.2262 0.8945 0.3129  5 Sn 3.19-3.39
Pm 0.4336 0.7738 0.6871  5 Sn 3.19-3.39
Sn 0.4045 0.0670 0.7976  7 Pm 3.19-3.39, 1 Ce 3.41
Sn 0.9330 0.2692 0.2024  7 Pm 3.19-3.39, 1 Ce 3.41
Sn 0.2692 0.5955 0.2024  7 Pm 3.19-3.39, 1 Ce 3.41
Sn 0.7308 0.4045 0.7976  7 Pm 3.19-3.39, 1 Ce 3.41
Sn 0.0670 0.7308 0.7976  7 Pm 3.19-3.39, 1 Ce 3.41
Sn 0.5955 0.9330 0.2024  7 Pm 3.19-3.39, 1 Ce 3.41

***

(14)
Here is a relaxed MnCrCuAu crystal from Alexandria. Energies are from PBE.

Results
space-group type	P2/m (10)
size of the total moment	7.84	μB/cell
N(E_F)	2.74	states/eV/cell
calculated formation energy	5.7	kcal/mol of atoms

Cell lengths 4.3701, 3.1936, 4.4036 Å; angles 90.00, 90.18, 90.00 degrees
Closest atoms and distances in Å follow each position.
Atoms (fractional coordinates):
Cr 0.9062 0.5000 0.9754  4 Cu 2.70-2.71, 4 Au 2.72
Mn 0.4057 0.5000 0.4758  4 Au 2.71, 4 Cu 2.72
Au 0.9058 0.0000 0.4753  4 Mn 2.71, 4 Cr 2.72
Cu 0.4066 0.0000 0.9764  4 Cr 2.70-2.71, 4 Mn 2.72

***

(15)
Here is a relaxed Ba2NaAgH crystal from Alexandria. Energies are from PBE.

Results
space-group type	P4/mmm (123)
size of the total moment	0.00	μB/cell
N(E_F)	2.87	states/eV/cell
E_tot	-2.458	eV per atom

Cell lengths 5.6698, 5.6698, 4.7559 Å; angles 90.00, 90.00, 90.00 degrees
Closest atoms and distances in Å follow each position.
Atoms (fractional coordinates):
Na 0.0000 0.0000 0.5000  2 H 2.38
Ba 0.0000 0.5000 0.0000  2 H 2.83
Ba 0.5000 0.0000 0.0000  2 H 2.83
Ag 0.5000 0.5000 0.5000  8 Ba 3.70, 4 Na 4.01
H 0.0000 0.0000 0.0000  2 Na 2.38

***

(16)
Here is a relaxed La6Ge2Se3Cl crystal from Alexandria. Energies are from PBE.

Results
space-group type	C2/m (12)
size of the total moment	0.00	μB/cell
N(E_F)	5.21	states/eV/cell
formation energy from raw total energies	-1.606	eV per atom

Cell lengths 4.3535, 8.7059, 9.7232 Å; angles 102.93, 102.94, 90.00 degrees
Closest atoms and distances in Å follow each position.
Atoms (fractional coordinates):
La 0.3301 0.9075 0.6603  2 Ge 3.01, 3 Se 3.05-3.11, 1 Cl 3.13
La 0.6689 0.5788 0.3377  3 Ge 3.07-3.09, 3 Se 3.12-3.13
La 0.6699 0.0925 0.3397  2 Ge 3.01, 3 Se 3.05-3.11, 1 Cl 3.13
La 0.0032 0.2623 0.0064  1 Ge 2.97, 3 Se 3.01-3.10, 2 Cl 3.15
La 0.9968 0.7377 0.9936  1 Ge 2.97, 3 Se 3.01-3.10, 2 Cl 3.15
La 0.3311 0.4212 0.6623  3 Ge 3.07-3.09, 3 Se 3.12-3.13
Ge 0.8362 0.6724 0.6723  6 La 2.97-3.09
Ge 0.1638 0.3276 0.3277  6 La 2.97-3.09
Se 0.5000 0.5000 0.0000  6 La 3.01-3.12
Se 0.8353 0.1650 0.6706  6 La 3.05-3.13
Se 0.1647 0.8350 0.3294  6 La 3.05-3.13
Cl 0.5000 0.0000 0.0000  6 La 3.13-3.15

***

(17)
Here is a relaxed BaCoBr2 crystal from Alexandria. Energies are from PBE.

Results
space-group type	Pmmm (47)
size of the total moment	2.27	μB/cell
N(E_F)	1.72	states/eV/cell
formation energy from raw total energies	-0.517	eV per atom

Cell lengths 5.1203, 5.2283, 4.2484 Å; angles 90.00, 90.00, 90.00 degrees
Closest atoms and distances in Å follow each position.
Atoms (fractional coordinates):
Ba 0.0000 0.5000 0.5000  8 Br 3.33-3.37, 4 Co 3.66
Br 0.0000 0.0000 0.0000  4 Co 3.33, 4 Ba 3.37, 4 Br 3.66
Br 0.5000 0.5000 0.0000  4 Ba 3.33, 4 Co 3.37, 4 Br 3.66
Co 0.5000 0.0000 0.5000  8 Br 3.33-3.37, 4 Ba 3.66

***

(18)
Here is a relaxed Ba2ScPt2O6 crystal from Alexandria. Energies are from PBE.

Results
space-group type	R-3m (166)
size of the total moment	0.00	μB/cell
N(E_F)	5.94	states/eV/cell
formation energy from raw total energies	-1.689	eV per atom

Cell lengths 6.1148, 6.1148, 6.7423 Å; angles 63.03, 63.03, 60.00 degrees
Closest atoms and distances in Å follow each position.
Atoms (fractional coordinates):
Ba 0.7823 0.7823 0.6531  9 O 2.80-3.11
Ba 0.2177 0.2177 0.3469  9 O 2.80-3.11
Sc 0.0000 0.0000 0.0000  6 O 2.12
Pt 0.4104 0.4104 0.7688  3 O 1.97
Pt 0.5896 0.5896 0.2312  3 O 1.97
O 0.7690 0.7690 0.2495  1 Pt 1.97, 1 Sc 2.12
O 0.2125 0.7690 0.2495  1 Pt 1.97, 1 Sc 2.12
O 0.7690 0.2125 0.2495  1 Pt 1.97, 1 Sc 2.12
O 0.2310 0.7875 0.7505  1 Pt 1.97, 1 Sc 2.12
O 0.7875 0.2310 0.7505  1 Pt 1.97, 1 Sc 2.12
O 0.2310 0.2310 0.7505  1 Pt 1.97, 1 Sc 2.12

***

(19)
Here is a relaxed TlSi2Se crystal from Alexandria. Energies are from PBE.

Results
space-group type	Fmmm (69)
size of the total moment	0.00	μB/cell
N(E_F)	1.70	states/eV/cell
formation energy from raw total energies	0.367	eV per atom

Cell lengths 4.8591, 4.8413, 4.8524 Å; angles 69.37, 72.76, 110.69 degrees
Closest atoms and distances in Å follow each position.
Atoms (fractional coordinates):
Se 0.5000 0.5000 0.0000  4 Si 2.76, 2 Tl 2.88
Si 0.0000 0.0000 0.0000  2 Se 2.76, 2 Tl 2.76, 2 Si 2.88
Si 0.5000 0.0000 0.5000  2 Tl 2.76, 2 Se 2.76, 2 Si 2.88
Tl 0.0000 0.5000 0.5000  4 Si 2.76, 2 Se 2.88

***

(20)
Here is a relaxed Zn3SbSe crystal from Alexandria. Energies are from PBE.

Results
space-group type	Pm-3m (221)
size of the total moment	0.00	μB/cell
N(E_F)	1.92	states/eV/cell
formation energy from raw total energies	0.371	eV per atom

Cell lengths 5.1285, 5.1285, 5.1285 Å; angles 90.00, 90.00, 90.00 degrees
Closest atoms and distances in Å follow each position.
Atoms (fractional coordinates):
Sb 0.0000 0.0000 0.0000  6 Zn 2.56
Zn 0.0000 0.5000 0.0000  2 Sb 2.56
Zn 0.0000 0.0000 0.5000  2 Sb 2.56
Zn 0.5000 0.0000 0.0000  2 Sb 2.56
Se 0.5000 0.5000 0.5000  12 Zn 3.63